No. 1
Compound: Al2CdCu
Source: the Alexandria database
Functional: GGA-PBE
Structure: optimized geometry

```
Al2CdCu
1.0
-0.7736 -0.9525 -4.0373
1.0801 -3.7857 -1.5190
-4.1057 -3.2629 -0.6486
Cd Cu Al
1 1 2
direct
0.4909 0.4909 0.5274
0.6789 0.6789 0.9632
0.2789 0.2789 0.1633
0.0513 0.0513 0.8461
```

Results
formation energy from the elements	0.03	eV per atom
SG	R3m (160)

***

No. 2
Compound: TlFeP2
Source: the Alexandria database
Functional: GGA-PBE
Structure: optimized geometry

```
TlFeP2
1.0
-0.7142 -8.1165 1.0353
-0.9504 -7.8544 -2.2057
1.9835 -7.9315 -0.7861
Fe Tl P
1 1 2
direct
0.7500 0.7500 0.7500
0.2500 0.2500 0.2500
0.0275 0.0275 0.0275
0.4725 0.4725 0.4725
```

Results
formation energy from the elements	0.08	eV per atom
SG	R-3m (166)

***

Repeat the first record exactly.
Compound: Al2CdCu
Source: the Alexandria database
Functional: GGA-PBE
Structure: optimized geometry

```
Al2CdCu
1.0
-0.7736 -0.9525 -4.0373
1.0801 -3.7857 -1.5190
-4.1057 -3.2629 -0.6486
Cd Cu Al
1 1 2
direct
0.4909 0.4909 0.5274
0.6789 0.6789 0.9632
0.2789 0.2789 0.1633
0.0513 0.0513 0.8461
```

Results
formation energy from the elements	0.03	eV per atom
SG	R3m (160)

***

Question: Which of these has the highest formation energy from the elements?
Answer: TlFeP2

***

Question: Which formula does entry 2 have?
Answer: TlFeP2

***

Question: Which of these has the highest formation energy from the elements?
Answer: TlFeP2